Crystalline Ce3PuSn at its relaxed geometry. Source: the Alexandria database, functional PBE.

## Properties
energy relative to the lowest polymorph listed for this composition: 0.044 eV per atom
formation enthalpy at 0 K: -0.19 eV/atom
crystal system: monoclinic
electronic total energy: -0.5452 Ry/atom
Fermi-level density of states: 18.33 states/eV/cell

Lattice parameters (Å, degrees): 6.3458 5.8698 7.2253 90.00 95.97 90.00
With the nearest neighbours (Å) after each atom.
Fractional coordinates of all 10 atoms:
Ce (0.1447, 0.0000, 0.2460)  1 Pu 2.46
Ce (0.3391, 0.5986, 0.5286)  2 Pu 2.52-2.55
Ce (0.3508, 0.4800, 0.0313)  2 Pu 2.57-2.64
Ce (0.6492, 0.9800, 0.9687)  2 Pu 2.57-2.64
Ce (0.6609, 0.0986, 0.4714)  2 Pu 2.52-2.55
Ce (0.8553, 0.5000, 0.7540)  1 Pu 2.46
Pu (0.4868, 0.7992, 0.2564)  5 Ce 2.46-2.64
Pu (0.5132, 0.2992, 0.7436)  5 Ce 2.46-2.64
Sn (0.1193, 0.9889, 0.7777)  1 Pu 3.12, 5 Ce 3.31-3.43
Sn (0.8807, 0.4889, 0.2223)  1 Pu 3.12, 5 Ce 3.31-3.43



Crystalline Ce6PuSn2 at its relaxed geometry. Source: the Alexandria database, functional PBE.

## Properties
energy relative to the lowest polymorph listed for this composition: 0.000 eV per atom
formation enthalpy at 0 K: -0.52 eV/atom
crystal system: cubic
electronic total energy: -0.5114 Ry/atom
Fermi-level density of states: 17.42 states/eV/cell

Lattice parameters (Å, degrees): 7.0392 7.0392 7.0392 60.00 60.00 60.00
With the nearest neighbours (Å) after each atom.
Fractional coordinates of all 9 atoms:
Ce (0.2458, 0.2458, 0.7542)  1 Pu 2.45
Ce (0.2458, 0.7542, 0.2458)  1 Pu 2.45
Ce (0.2458, 0.7542, 0.7542)  1 Pu 2.45
Ce (0.7542, 0.2458, 0.2458)  1 Pu 2.45
Ce (0.7542, 0.2458, 0.7542)  1 Pu 2.45
Ce (0.7542, 0.7542, 0.2458)  1 Pu 2.45
Pu (0.0000, 0.0000, 0.0000)  6 Ce 2.45
Sn (0.2500, 0.2500, 0.2500)  12 Ce 3.52
Sn (0.7500, 0.7500, 0.7500)  12 Ce 3.52



Crystalline Ce3Pu3Sn5 at its relaxed geometry. Source: the Alexandria database, functional PBE.

## Properties
formation enthalpy at 0 K: -0.42 eV/atom
crystal system: monoclinic
electronic total energy: -0.5707 Ry/atom
Fermi-level density of states: 19.85 states/eV/cell

Lattice parameters (Å, degrees): 8.6924 8.6924 8.3735 106.30 106.30 28.84
With the nearest neighbours (Å) after each atom.
Fractional coordinates of all 11 atoms:
Ce (0.0000, 0.0000, 0.0000)  2 Pu 2.80-2.90
Ce (0.2671, 0.2671, 0.3074)  1 Pu 2.80
Ce (0.5521, 0.5521, 0.6514)  2 Pu 2.92, 3 Sn 3.23-3.25
Pu (0.1064, 0.1064, 0.3410)  2 Ce 2.80-2.90
Pu (0.8352, 0.8352, 0.0082)  1 Ce 2.80
Pu (0.9332, 0.9332, 0.5292)  2 Ce 2.92, 4 Sn 3.18-3.22
Sn (0.1918, 0.1918, 0.8423)  5 Sn 3.14-3.38, 2 Pu 3.24, 2 Ce 3.25
Sn (0.3738, 0.3738, 0.7484)  3 Sn 3.18-3.38, 4 Pu 3.18-3.27, 3 Ce 3.32-3.33
Sn (0.4529, 0.4529, 0.2588)  6 Pu 3.22-3.29, 4 Ce 3.23-3.32
Sn (0.6481, 0.6481, 0.0745)  2 Sn 3.14, 5 Ce 3.20-3.44, 3 Pu 3.33-3.35
Sn (0.7375, 0.7375, 0.5779)  4 Sn 3.18-3.34, 3 Ce 3.27-3.35, 4 Pu 3.31-3.50



Crystalline Ce5PuSn5 at its relaxed geometry. Source: the Alexandria database, functional PBE.

## Properties
formation enthalpy at 0 K: -0.23 eV/atom
crystal system: monoclinic
electronic total energy: -0.4443 Ry/atom
Fermi-level density of states: 42.06 states/eV/cell

Lattice parameters (Å, degrees): 7.7342 7.7342 8.8632 106.63 106.63 48.21
With the nearest neighbours (Å) after each atom.
Fractional coordinates of all 11 atoms:
Ce (0.0000, 0.0000, 0.0000)  4 Sn 3.13-3.14
Ce (0.3344, 0.3344, 0.6690)  5 Sn 3.15-3.18
Ce (0.3356, 0.3356, 0.1651)  5 Sn 3.14-3.16
Ce (0.6644, 0.6644, 0.8349)  5 Sn 3.14-3.16
Ce (0.6656, 0.6656, 0.3310)  5 Sn 3.15-3.18
Pu (0.0000, 0.0000, 0.5000)  6 Sn 3.16-3.17
Sn (0.1662, 0.1662, 0.8351)  5 Ce 3.13-3.16, 1 Pu 3.16
Sn (0.1678, 0.1678, 0.3313)  5 Ce 3.14-3.18, 1 Pu 3.17
Sn (0.5000, 0.5000, 0.5000)  4 Ce 3.14-3.15, 2 Pu 3.16
Sn (0.8322, 0.8322, 0.6687)  5 Ce 3.14-3.18, 1 Pu 3.17
Sn (0.8338, 0.8338, 0.1649)  5 Ce 3.13-3.16, 1 Pu 3.16